(1)
DFT (PBE) results for an optimized crystal structure of TbTiTlHg.

Lattice parameters (Å, degrees): 5.106 5.106 5.106 60.00 60.00 60.00
Fractional coordinates of all 4 atoms:
Tb  0.000  0.000  0.000
Ti  0.500  0.500  0.500
Tl  0.750  0.750  0.750
Hg  0.250  0.250  0.250

**ΔE_f**: -0.11 eV per atom
**Calculated volume**: 23.5 A^3/atom
**SG**: F-43m (216)
**Raw total energy**: -3.9116 eV per atom
**N(E_F)**: 4.15 states/eV/f.u.


(2)
DFT (PBE) results for an optimized crystal structure of TiCu3Pd3.

Lattice parameters (Å, degrees): 7.092 7.092 4.526 90.00 90.00 120.00
Fractional coordinates of all 14 atoms:
Ti  0.333  0.667  0.250
Ti  0.667  0.333  0.750
Cu  0.107  0.480  0.750
Cu  0.373  0.893  0.750
Cu  0.480  0.373  0.250
Cu  0.520  0.627  0.750
Cu  0.627  0.107  0.250
Cu  0.893  0.520  0.250
Pd  0.058  0.261  0.250
Pd  0.203  0.942  0.250
Pd  0.261  0.203  0.750
Pd  0.739  0.797  0.250
Pd  0.797  0.058  0.750
Pd  0.942  0.739  0.750

**ΔE_f**: -0.25 eV per atom
**Calculated volume**: 14.1 A^3/atom
**SG**: P6_3/m (176)
**Raw total energy**: -5.3599 eV per atom
**N(E_F)**: 3.65 states/eV/f.u.


(3)
DFT (PBE) results for an optimized crystal structure of LaVRh3.

Lattice parameters (Å, degrees): 4.862 4.862 4.862 90.00 90.00 90.00
Fractional coordinates of all 5 atoms:
La  0.000  0.000  0.000
V  0.500  0.500  0.500
Rh  0.000  0.000  0.500
Rh  0.000  0.500  0.000
Rh  0.500  0.000  0.000

**ΔE_f**: 1.22 eV per atom
**Calculated volume**: 23.0 A^3/atom
**SG**: Pm-3m (221)
**Distance to the lowest polymorph of the same formula**: 7.07 eV/f.u.
**Raw total energy**: -5.9958 eV per atom
**N(E_F)**: 8.40 states/eV/f.u.


(4)
DFT (PBE) results for an optimized crystal structure of Y3Er2Sc3.

Lattice parameters (Å, degrees): 6.239 6.239 6.239 85.51 85.51 85.51
Fractional coordinates of all 8 atoms:
Y  0.000  0.242  0.758
Y  0.242  0.758  0.000
Y  0.758  0.000  0.242
Er  0.250  0.250  0.250
Er  0.750  0.750  0.750
Sc  0.275  0.725  0.500
Sc  0.500  0.275  0.725
Sc  0.725  0.500  0.275

**ΔE_f**: 0.23 eV per atom
**Calculated volume**: 30.1 A^3/atom
**SG**: R32 (155)
**Distance to the lowest polymorph of the same formula**: 1.43 eV/f.u.
**Raw total energy**: -5.7053 eV per atom
**N(E_F)**: 14.94 states/eV/f.u.


(5)
DFT (PBE) results for an optimized crystal structure of Pu4Te2PS.

Lattice parameters (Å, degrees): 7.244 4.191 7.405 90.00 109.10 90.00
Fractional coordinates of all 8 atoms:
Pu  0.237  0.000  0.215
Pu  0.261  0.500  0.785
Pu  0.739  0.500  0.215
Pu  0.763  0.000  0.785
Te  0.000  0.000  0.500
Te  0.500  0.500  0.500
P  0.000  0.500  0.000
S  0.500  0.000  0.000

**Calculated volume**: 26.6 A^3/atom
**SG**: P2/m (10)
**Raw total energy**: -10.4224 eV per atom
**N(E_F)**: 37.36 states/eV/f.u.


(6)
DFT (PBE) results for an optimized crystal structure of TbNd3Mg6.

Lattice parameters (Å, degrees): 9.452 5.334 11.407 90.00 105.29 90.00
Fractional coordinates of all 20 atoms:
Tb  0.050  0.250  0.398
Tb  0.950  0.750  0.602
Nd  0.245  0.250  0.994
Nd  0.350  0.750  0.790
Nd  0.463  0.250  0.605
Nd  0.537  0.750  0.395
Nd  0.650  0.250  0.210
Nd  0.755  0.750  0.006
Mg  0.045  0.750  0.898
Mg  0.137  0.250  0.695
Mg  0.145  0.750  0.192
Mg  0.236  0.750  0.486
Mg  0.332  0.250  0.292
Mg  0.439  0.750  0.098
Mg  0.561  0.250  0.902
Mg  0.668  0.750  0.708
Mg  0.764  0.250  0.514
Mg  0.855  0.250  0.808
Mg  0.863  0.750  0.305
Mg  0.955  0.250  0.102

**ΔE_f**: -0.08 eV per atom
**Calculated volume**: 27.7 A^3/atom
**SG**: P2_1/m (11)
**Raw total energy**: -2.9314 eV per atom
**N(E_F)**: 9.65 states/eV/f.u.


(7)
DFT (PBE) results for an optimized crystal structure of La4InIr2.

Lattice parameters (Å, degrees): 9.686 8.378 8.333 70.84 54.80 54.36
Fractional coordinates of all 14 atoms:
La  0.145  0.285  0.287
La  0.217  0.713  0.715
La  0.285  0.145  0.783
La  0.287  0.783  0.145
La  0.713  0.217  0.855
La  0.715  0.855  0.217
La  0.783  0.287  0.285
La  0.855  0.715  0.713
In  0.375  0.375  0.375
In  0.625  0.625  0.625
Ir  0.000  0.000  0.000
Ir  0.000  0.000  0.500
Ir  0.000  0.500  0.000
Ir  0.500  0.000  0.000

**ΔE_f**: -0.51 eV per atom
**Calculated volume**: 32.1 A^3/atom
**SG**: Fddd (70)
**Raw total energy**: -6.2474 eV per atom
**N(E_F)**: 5.26 states/eV/f.u.